This record from Alexandria describes Rb3Tb3WO8 after structural relaxation. The functional is PBE+U.

final energy = -6.81 eV/atom
magnetic moment = 2.00 μB/f.u.

Cell lengths 6.8898, 6.8898, 7.7124 Å; angles 116.47, 116.47, 60.33 degrees
Element x y z (fractional)
Rb 0.0000 0.0000 0.0000
Rb 0.0000 0.5000 0.0000
Rb 0.5000 0.0000 0.0000
Tb 0.0000 0.5000 0.5000
Tb 0.5000 0.0000 0.5000
Tb 0.5000 0.5000 0.5000
W 0.0000 0.0000 0.5000
O 0.2072 0.2072 0.6638
O 0.2112 0.7433 0.6638
O 0.2567 0.7888 0.3362
O 0.2750 0.2750 0.3276
O 0.7250 0.7250 0.6724
O 0.7433 0.2112 0.6638
O 0.7888 0.2567 0.3362
O 0.7928 0.7928 0.3362